1.
Entry from the Alexandria database: a geometry-optimized AcHoAl2Ga2 structure (PBE-GGA).

Cell and atoms, written as POSCAR:
```
AcHoAl2Ga2
1.0
4.3470 0.0000 0.0000
-2.1735 3.7646 0.0000
0.0000 0.0000 8.7853
Ac Ho Al Ga
1 1 2 2
Direct
0.0000 0.0000 0.0000
0.0000 0.0000 0.5000
0.3333 0.6667 0.7275
0.6667 0.3333 0.2725
0.3333 0.6667 0.2801
0.6667 0.3333 0.7199
```

Output
Density ... 6.76 g/cm³
Space-group type ... P-3m1
VASP energy ... -4.24 eV per atom
Magnetization ... 0.000 μB/cell

---

2.
Entry from the Alexandria database: a geometry-optimized AcHoAlGa2 structure (PBE-GGA).

Cell and atoms, written as POSCAR:
```
AcHoAlGa2
1.0
4.5549 0.0000 0.0000
0.0000 4.5549 0.0000
0.0000 0.0000 12.1287
Ac Ho Al Ga
2 2 2 4
Direct
0.0000 0.0000 0.0000
0.5000 0.5000 0.5000
0.0000 0.5000 0.2500
0.5000 0.0000 0.7500
0.0000 0.5000 0.7500
0.5000 0.0000 0.2500
0.0000 0.0000 0.3943
0.0000 0.0000 0.6057
0.5000 0.5000 0.1057
0.5000 0.5000 0.8943
```

Output
Density ... 7.37 g/cm³
Space-group type ... I-4m2
VASP energy ... -4.20 eV per atom
Magnetization ... 0.000 μB/cell

---

3.
Entry from the Alexandria database: a geometry-optimized Ac2HoAl3Ga12 structure (PBE-GGA).

Cell and atoms, written as POSCAR:
```
Ac2HoAl3Ga12
1.0
3.4154 1.9719 10.1384
-3.4154 1.9719 10.1384
0.0000 -3.9438 10.1384
Ac Ho Al Ga
2 1 3 12
Direct
0.1374 0.1374 0.1374
0.8626 0.8626 0.8626
0.5000 0.5000 0.5000
0.0000 0.5000 0.5000
0.5000 0.0000 0.5000
0.5000 0.5000 0.0000
0.0573 0.6223 0.6223
0.0902 0.0902 0.6870
0.0902 0.6870 0.0902
0.3130 0.9098 0.9098
0.3777 0.3777 0.9427
0.3777 0.9427 0.3777
0.6223 0.0573 0.6223
0.6223 0.6223 0.0573
0.6870 0.0902 0.0902
0.9098 0.3130 0.9098
0.9098 0.9098 0.3130
0.9427 0.3777 0.3777
```

Output
Density ... 6.23 g/cm³
Space-group type ... R-3m
VASP energy ... -3.49 eV per atom
Magnetization ... 0.000 μB/cell

---

4.
Entry from the Alexandria database: a geometry-optimized Ac4AlGaI2 structure (PBE-GGA).

Cell and atoms, written as POSCAR:
```
Ac4AlGaI2
1.0
8.2616 0.0000 0.0000
0.0000 4.7105 0.0000
-2.6936 0.0000 7.9338
Ac Al Ga I
4 1 1 2
Direct
0.2329 0.0000 0.2102
0.2569 0.5000 0.7846
0.7431 0.5000 0.2154
0.7671 0.0000 0.7898
0.5000 0.0000 0.0000
0.0000 0.5000 0.0000
0.0000 0.0000 0.5000
0.5000 0.5000 0.5000
```

Output
Density ... 6.77 g/cm³
Space-group type ... P2/m
VASP energy ... -3.94 eV per atom
Magnetization ... 0.000 μB/cell

---

5.
Entry from the Alexandria database: a geometry-optimized AcAlGaI structure (PBE-GGA).

Cell and atoms, written as POSCAR:
```
AcAlGaI
1.0
2.2375 1.2918 15.5225
-2.2375 1.2918 15.5225
0.0000 -2.5837 15.5225
Ac Al Ga I
2 2 2 2
Direct
0.0752 0.0752 0.0752
0.9248 0.9248 0.9248
0.3114 0.3114 0.3114
0.6886 0.6886 0.6886
0.3692 0.3692 0.3692
0.6308 0.6308 0.6308
0.2103 0.2103 0.2103
0.7897 0.7897 0.7897
```

Output
Density ... 5.56 g/cm³
Space-group type ... R-3m
VASP energy ... -3.86 eV per atom
Magnetization ... 0.000 μB/cell

---

6.
Entry from the Alexandria database: a geometry-optimized AcLaAl2Ga2 structure (PBE-GGA).

Cell and atoms, written as POSCAR:
```
AcLaAl2Ga2
1.0
4.4089 0.0000 0.0000
-2.2045 3.8182 0.0000
0.0000 0.0000 9.1882
Ac La Al Ga
1 1 2 2
Direct
0.0000 0.0000 0.0000
0.0000 0.0000 0.5000
0.3333 0.6667 0.7400
0.6667 0.3333 0.2600
0.3333 0.6667 0.2624
0.6667 0.3333 0.7376
```

Output
Density ... 6.00 g/cm³
Space-group type ... P-3m1
VASP energy ... -4.34 eV per atom
Magnetization ... 0.000 μB/cell

---

7.
Entry from the Alexandria database: a geometry-optimized AcLaAlGa structure (PBE-GGA).

Cell and atoms, written as POSCAR:
```
AcLaAlGa
1.0
4.3402 0.0000 0.0000
0.0000 4.6748 0.0000
0.0000 0.0000 11.8643
Ac La Al Ga
2 2 2 2
Direct
0.0000 0.0000 0.0000
0.0000 0.5000 0.5000
0.5000 0.0000 0.2842
0.5000 0.5000 0.7842
0.0000 0.0000 0.7103
0.0000 0.5000 0.2103
0.5000 0.0000 0.5819
0.5000 0.5000 0.0819
```

Output
Density ... 6.38 g/cm³
Polymorph energy (0 for the lowest one) ... 0.00 eV per formula unit
Space-group type ... Amm2
Magnetization ... 0.012 μB/cell

---

8.
Entry from the Alexandria database: a geometry-optimized AcLaAlGa structure (PBE-GGA).

Cell and atoms, written as POSCAR:
```
AcLaAlGa
1.0
7.7470 0.0000 0.0000
0.0000 7.7470 0.0000
0.0000 0.0000 7.7470
Ac La Al Ga
4 4 4 4
Direct
0.0000 0.0000 0.0000
0.0000 0.5000 0.5000
0.5000 0.0000 0.5000
0.5000 0.5000 0.0000
0.0000 0.0000 0.5000
0.0000 0.5000 0.0000
0.5000 0.0000 0.0000
0.5000 0.5000 0.5000
0.2500 0.2500 0.7500
0.2500 0.7500 0.2500
0.7500 0.2500 0.2500
0.7500 0.7500 0.7500
0.2500 0.2500 0.2500
0.2500 0.7500 0.7500
0.7500 0.2500 0.7500
0.7500 0.7500 0.2500
```

Output
Density ... 6.61 g/cm³
Polymorph energy (0 for the lowest one) ... 0.27 eV per formula unit
Space-group type ... F-43m
Magnetization ... 0.000 μB/cell

---

9.
Entry from the Alexandria database: a geometry-optimized LiAc2Al3Ga4 structure (PBE-GGA).

Cell and atoms, written as POSCAR:
```
LiAc2Al3Ga4
1.0
4.5180 0.0000 0.0000
0.0000 4.5180 0.0000
0.0000 0.0000 10.7396
Li Ac Al Ga
1 2 3 4
Direct
0.0000 0.0000 0.0000
0.0000 0.5000 0.7474
0.5000 0.0000 0.2526
0.0000 0.5000 0.3704
0.5000 0.0000 0.6296
0.5000 0.5000 0.0000
0.0000 0.0000 0.5000
0.0000 0.5000 0.1319
0.5000 0.0000 0.8681
0.5000 0.5000 0.5000
```

Output
Density ... 6.22 g/cm³
Space-group type ... P-4m2
VASP energy ... -3.80 eV per atom
Magnetization ... 0.000 μB/cell

---

10.
Entry from the Alexandria database: a geometry-optimized LiAcAl2Ga4 structure (PBE-GGA).

Cell and atoms, written as POSCAR:
```
LiAcAl2Ga4
1.0
2.2781 1.3153 9.0154
-2.2781 1.3153 9.0154
0.0000 -2.6305 9.0154
Li Ac Al Ga
1 1 2 4
Direct
0.0000 0.0000 0.0000
0.5000 0.5000 0.5000
0.2630 0.2630 0.2630
0.7370 0.7370 0.7370
0.0963 0.0963 0.0963
0.3672 0.3672 0.3672
0.6328 0.6328 0.6328
0.9037 0.9037 0.9037
```

Output
Density ... 5.81 g/cm³
Space-group type ... R-3m
VASP energy ... -3.48 eV per atom
Magnetization ... 0.000 μB/cell

---

11.
Entry from the Alexandria database: a geometry-optimized Li2AcAl2Ga2 structure (PBE-GGA).

Cell and atoms, written as POSCAR:
```
Li2AcAl2Ga2
1.0
7.6807 0.0000 0.0000
0.0000 4.4236 0.0000
-2.5365 0.0000 8.3758
Li Ac Al Ga
4 2 4 4
Direct
0.1444 0.0000 0.4350
0.3556 0.5000 0.5650
0.6444 0.5000 0.4350
0.8556 0.0000 0.5650
0.0000 0.0000 0.0000
0.5000 0.5000 0.0000
0.0613 0.5000 0.6811
0.4387 0.0000 0.3189
0.5613 0.0000 0.6811
0.9387 0.5000 0.3189
0.2469 0.5000 0.2431
0.2531 0.0000 0.7569
0.7469 0.0000 0.2431
0.7531 0.5000 0.7569
```

Output
Density ... 5.07 g/cm³
Space-group type ... C2/m
VASP energy ... -3.47 eV per atom
Magnetization ... 0.000 μB/cell

---

12.
Entry from the Alexandria database: a geometry-optimized LiAc2AlGa6 structure (PBE-GGA).

Cell and atoms, written as POSCAR:
```
LiAc2AlGa6
1.0
3.2731 1.8897 11.9494
-3.2731 1.8897 11.9494
0.0000 -3.7794 11.9494
Li Ac Al Ga
2 4 2 12
Direct
0.0000 0.0000 0.0000
0.5000 0.5000 0.5000
0.1079 0.1079 0.1079
0.2806 0.2806 0.2806
0.7194 0.7194 0.7194
0.8921 0.8921 0.8921
0.4260 0.4260 0.4260
0.5740 0.5740 0.5740
0.0752 0.6686 0.6686
0.2244 0.2244 0.6456
0.2244 0.6456 0.2244
0.3314 0.3314 0.9248
0.3314 0.9248 0.3314
0.3544 0.7756 0.7756
0.6456 0.2244 0.2244
0.6686 0.0752 0.6686
0.6686 0.6686 0.0752
0.7756 0.3544 0.7756
0.7756 0.7756 0.3544
0.9248 0.3314 0.3314
```

Output
Density ... 6.79 g/cm³
Space-group type ... R-3m
VASP energy ... -3.55 eV per atom
Magnetization ... 0.000 μB/cell